[1]
Entry from the Alexandria database: crystalline SrCa2Th at its relaxed geometry (GGA-PBE).

Cell: 13.9798 13.9798 13.9798 Å, 15.11 15.11 15.11°
With the nearest neighbours (Å) after each atom.
Positions (direct):
1 Sr 0.0000 0.0000 0.0000  6 Sr 3.67, 6 Ca 3.99
2 Ca 0.4149 0.4149 0.4149  1 Th 3.53, 6 Ca 3.67
3 Ca 0.5851 0.5851 0.5851  1 Th 3.53, 6 Ca 3.67
4 Th 0.5000 0.5000 0.5000  2 Ca 3.53, 6 Th 3.67

Properties
- calculated volume (Å³ per cell) = 161.6
- energy relative to the lowest polymorph listed for this composition (eV per formula unit) = 0.60



[2]
Entry from the Alexandria database: crystalline Sr2CaTh at its relaxed geometry (GGA-PBE).

Cell: 14.1964 14.1964 14.1964 Å, 15.18 15.18 15.18°
With the nearest neighbours (Å) after each atom.
Positions (direct):
1 Sr 0.0869 0.0869 0.0869  1 Th 3.66, 6 Sr 3.75, 3 Ca 4.00
2 Sr 0.9131 0.9131 0.9131  1 Th 3.66, 6 Sr 3.75, 3 Ca 4.00
3 Ca 0.5000 0.5000 0.5000  6 Ca 3.75, 6 Sr 4.00
4 Th 0.0000 0.0000 0.0000  2 Sr 3.66, 6 Th 3.75

Properties
- calculated volume (Å³ per cell) = 170.9
- VASP energy (eV/atom) = -2.82



[3]
Entry from the Alexandria database: crystalline SrCa2Th at its relaxed geometry (GGA-PBE).

Cell: 3.7552 3.7552 11.5139 Å, 90.00 90.00 90.00°
With the nearest neighbours (Å) after each atom.
Positions (direct):
1 Sr 0.0000 0.0000 0.0000  4 Sr 3.76, 8 Ca 4.14
2 Ca 0.5000 0.5000 0.2755  4 Th 3.71, 4 Ca 3.76, 4 Sr 4.14
3 Ca 0.5000 0.5000 0.7245  4 Th 3.71, 4 Ca 3.76, 4 Sr 4.14
4 Th 0.0000 0.0000 0.5000  8 Ca 3.71, 4 Th 3.76

Properties
- calculated volume (Å³ per cell) = 162.4
- energy relative to the lowest polymorph listed for this composition (eV per formula unit) = 0.00



Repeat the second record exactly.
Entry from the Alexandria database: crystalline Sr2CaTh at its relaxed geometry (GGA-PBE).

Cell: 14.1964 14.1964 14.1964 Å, 15.18 15.18 15.18°
With the nearest neighbours (Å) after each atom.
Positions (direct):
1 Sr 0.0869 0.0869 0.0869  1 Th 3.66, 6 Sr 3.75, 3 Ca 4.00
2 Sr 0.9131 0.9131 0.9131  1 Th 3.66, 6 Sr 3.75, 3 Ca 4.00
3 Ca 0.5000 0.5000 0.5000  6 Ca 3.75, 6 Sr 4.00
4 Th 0.0000 0.0000 0.0000  2 Sr 3.66, 6 Th 3.75

Properties
- calculated volume (Å³ per cell) = 170.9
- VASP energy (eV/atom) = -2.82



Question: The lowest calculated volume belongs to which entry?
Answer: number 1